## Mn2BeMoSe (GGA-PBE)

Data for a relaxed Mn2BeMoSe crystal.

Output
N(E_F) ... 4.8 states/eV/f.u.
Energy relative to the elements, uncorrected ... 0.891 eV per atom
Space group ... No. 123

a = 4.0979 Å, b = 4.4398 Å, c = 4.0979 Å
α = 90.00°, β = 90.00°, γ = 90.00°
Last column: nearest neighbours and their distance in Å.
Sites, in units of the cell vectors:
Se: 0.0000 0.5000 0.0000  2 Be 2.22
Be: 0.0000 0.0000 0.0000  4 Mn 2.05, 2 Se 2.22
Mo: 0.5000 0.5000 0.5000  4 Se 2.90, 8 Mn 3.02
Mn: 0.0000 0.0000 0.5000  2 Be 2.05
Mn: 0.5000 0.0000 0.0000  2 Be 2.05